Computed, not measured: a crystal of CsCa2Sn2 relaxed with PBEsol at the SCAN level of DFT.

Calculated values
- Formation energy: -0.51 eV per atom
- Magnetization: 0.000 μB per formula unit
- Theoretical density: 4.7 g/cm³

Cell: 3.388 9.739 9.739 Å, 90.00 90.00 90.00°
Fractional positions:
Ca: 0.000 0.873 0.627
Ca: 0.000 0.127 0.373
Ca: 0.000 0.627 0.127
Ca: 0.000 0.373 0.873
Sn: 0.500 0.332 0.168
Sn: 0.500 0.668 0.832
Sn: 0.500 0.168 0.668
Sn: 0.500 0.832 0.332
Cs: 0.000 0.500 0.500
Cs: 0.000 0.000 0.000

Computed, not measured: a crystal of CsSr2Ca2 relaxed with PBEsol at the SCAN level of DFT.

Calculated values
- Formation energy: 0.29 eV per atom
- Magnetization: 0.060 μB per formula unit
- Theoretical density: 2.1 g/cm³

Cell: 4.808 4.808 13.439 Å, 100.30 100.30 90.00°
Fractional positions:
Sr: 0.372 0.372 0.744
Sr: 0.628 0.628 0.256
Ca: 0.750 0.250 0.500
Ca: 0.250 0.750 0.500
Cs: 0.000 0.000 0.000

Computed, not measured: a crystal of Cs2SrCaTi relaxed with PBEsol at the SCAN level of DFT.

Calculated values
- Formation energy: 0.96 eV per atom
- Magnetization: 4.498 μB per formula unit
- Theoretical density: 2.4 g/cm³

Cell: 5.810 7.217 7.217 Å, 90.00 90.00 90.00°
Last column: magnetic moment on the atom in μB.
Fractional positions:
Ca: 0.000 0.000 0.000  0.29
Ti: 0.500 0.000 0.000  2.18
Cs: 0.000 0.000 0.500  0.03
Cs: 0.000 0.500 0.000  0.03
Sr: 0.500 0.500 0.500  -0.01

Computed, not measured: a crystal of CsCa2Tl2 relaxed with PBEsol at the SCAN level of DFT.

Calculated values
- Formation energy: -0.13 eV per atom
- Magnetization: 0.000 μB per formula unit
- Theoretical density: 4.9 g/cm³

Cell: 5.875 5.875 7.402 Å, 113.38 113.38 90.00°
Fractional positions:
Ca: 0.342 0.342 0.685
Ca: 0.658 0.658 0.315
Tl: 0.250 0.750 0.500
Tl: 0.750 0.250 0.500
Cs: 0.000 0.000 0.000

Computed, not measured: a crystal of CsCa2Y2 relaxed with PBEsol at the SCAN level of DFT.

Calculated values
- Formation energy: 0.75 eV per atom
- Magnetization: 1.478 μB per formula unit
- Theoretical density: 3.0 g/cm³

Cell: 4.933 4.933 9.594 Å, 104.90 104.90 90.00°
Last column: magnetic moment on the atom in μB.
Fractional positions:
Ca: 0.750 0.250 0.500  0.05
Ca: 0.250 0.750 0.500  0.05
Y: 0.598 0.598 0.196  0.28
Y: 0.402 0.402 0.804  0.28
Cs: 0.000 0.000 0.000  0.02

Computed, not measured: a crystal of CaCu relaxed with PBEsol at the SCAN level of DFT.

Calculated values
- Formation energy: -0.14 eV per atom
- Magnetization: 0.000 μB per formula unit
- Theoretical density: 3.8 g/cm³

Cell: 4.197 5.692 7.587 Å, 90.00 90.00 90.00°
Fractional positions:
Cu: 0.750 0.397 0.471
Cu: 0.250 0.897 0.029
Cu: 0.250 0.603 0.529
Cu: 0.750 0.103 0.971
Ca: 0.250 0.125 0.679
Ca: 0.250 0.375 0.179
Ca: 0.750 0.625 0.821
Ca: 0.750 0.875 0.321

Computed, not measured: a crystal of CaCu relaxed with PBEsol at the SCAN level of DFT.

Calculated values
- Formation energy: 0.20 eV per atom
- Magnetization: 0.000 μB per formula unit
- Theoretical density: 4.4 g/cm³

Cell: 4.910 4.910 4.710 Å, 58.58 58.58 60.00°
Fractional positions:
Cu: 0.886 0.886 0.342
Cu: 0.114 0.114 0.658
Ca: 0.368 0.368 0.895
Ca: 0.632 0.632 0.105

Computed, not measured: a crystal of Ca5Cu3 relaxed with PBEsol at the SCAN level of DFT.

Calculated values
- Formation energy: -0.02 eV per atom
- Magnetization: 0.026 μB per formula unit
- Theoretical density: 3.1 g/cm³

Cell: 6.405 8.645 8.645 Å, 120.00 90.00 90.00°
Fractional positions:
Ca: 0.250 0.743 0.000
Ca: 0.000 0.667 0.333
Ca: 0.750 0.257 0.000
Ca: 0.000 0.333 0.667
Ca: 0.750 0.743 0.743
Ca: 0.250 0.000 0.743
Ca: 0.750 0.000 0.257
Ca: 0.250 0.257 0.257
Ca: 0.500 0.667 0.333
Ca: 0.500 0.333 0.667
Cu: 0.250 0.000 0.394
Cu: 0.750 0.000 0.606
Cu: 0.250 0.394 0.000
Cu: 0.750 0.606 0.000
Cu: 0.750 0.394 0.394
Cu: 0.250 0.606 0.606